No. 1
# ZnCdGa2Pt PBE optimized geometry
data_ZnCdGa2Pt
_space_group_name_H-M_alt 'P 4/m m m'
_space_group_IT_number 123
_space_group_name_Hall '-P 4 2'
_cell_length_a 4.847
_cell_length_b 4.847
_cell_length_c 4.967
_cell_angle_alpha 90.00
_cell_angle_beta 90.00
_cell_angle_gamma 90.00
loop_
_atom_site_label
_atom_site_fract_x
_atom_site_fract_y
_atom_site_fract_z
Zn1 0.000 0.000 0.000
Cd1 0.500 0.500 0.000
Ga1 0.000 0.500 0.500
Pt1 0.000 0.000 0.500
# ΔH_f (0 K): -155 meV per atom
# mass density: 7.29 g/cm3
# N(E_F): 1.21 states/eV per cell

***

No. 2
# Na3ZrF PBE optimized geometry
data_Na3ZrF
_space_group_name_H-M_alt 'P m -3 m'
_space_group_IT_number 221
_space_group_name_Hall '-P 4 2 3'
_cell_length_a 4.873
_cell_length_b 4.873
_cell_length_c 4.873
_cell_angle_alpha 90.00
_cell_angle_beta 90.00
_cell_angle_gamma 90.00
loop_
_atom_site_label
_atom_site_fract_x
_atom_site_fract_y
_atom_site_fract_z
Na1 0.000 0.000 0.500
Zr1 0.500 0.500 0.500
F1 0.000 0.000 0.000
# mass density: 2.57 g/cm3
# energy relative to the elements, uncorrected: -221 meV/atom
# N(E_F): 4.29 states/eV per cell